No. 1
Crystalline Nd4Sm9Cd11 at its relaxed geometry. Source: the Alexandria database, functional PBE.

Cell: 3.632 14.114 14.114 Å, 110.18 90.00 90.00°
Element x y z (fractional)
Nd (0.500, 0.579, 0.749)
Sm (0.500, 0.616, 0.153)
Sm (0.500, 0.981, 0.793)
Sm (0.500, 0.500, 0.500)
Sm (0.500, 0.384, 0.847)
Cd (0.000, 0.952, 0.589)
Sm (0.500, 0.847, 0.384)
Nd (0.500, 0.421, 0.251)
Cd (0.000, 0.819, 0.181)
Nd (0.500, 0.251, 0.421)
Cd (0.000, 0.369, 0.631)
Sm (0.500, 0.153, 0.616)
Cd (0.000, 0.589, 0.952)
Sm (0.500, 0.793, 0.981)
Cd (0.000, 0.631, 0.369)
Cd (0.000, 0.411, 0.048)
Cd (0.000, 0.048, 0.411)
Sm (0.500, 0.019, 0.207)
Cd (0.000, 0.181, 0.819)
Sm (0.500, 0.207, 0.019)
Cd (0.000, 0.213, 0.213)
Cd (0.000, 0.787, 0.787)
Cd (0.000, 0.000, 0.000)
Nd (0.500, 0.749, 0.579)

Properties
- Raw total energy: -3.23 eV/atom
- ΔH_f (0 K): -0.2470 eV per atom
- Total magnetization: 0.0 μB/cell

No. 2
Crystalline PaH8Pd4Pt at its relaxed geometry. Source: the Alexandria database, functional PBE.

Cell: 5.743 5.743 5.877 Å, 60.75 60.75 60.00°
Each line ends with the local moment (μB).
Element x y z (fractional)
H (0.222, 0.222, 0.334)  0.01
Pd (0.996, 0.996, 0.503)  0.07
H (0.215, 0.836, 0.735)  0.01
Pt (0.997, 0.997, 0.010)  0.08
H (0.770, 0.770, 0.240)  0.00
H (0.221, 0.770, 0.240)  0.00
Pd (0.505, 0.996, 0.503)  0.07
H (0.215, 0.215, 0.735)  0.01
Pa (0.369, 0.369, 0.893)  1.17
Pd (0.996, 0.505, 0.503)  0.07
H (0.760, 0.760, 0.720)  0.00
H (0.770, 0.221, 0.240)  0.00
H (0.836, 0.215, 0.735)  0.01
Pd (0.630, 0.630, 0.110)  -0.01

Properties
- Raw total energy: -4.56 eV/atom
- Total magnetization: 1.6 μB/cell

No. 3
Crystalline CrCd2HI at its relaxed geometry. Source: the Alexandria database, functional PBE.

Cell: 4.237 6.313 4.237 Å, 90.00 90.00 90.00°
Each line ends with the local moment (μB).
Element x y z (fractional)
H (0.000, 0.000, 0.000)  0.00
I (0.000, 0.500, 0.000)  0.01
Cr (0.500, 0.500, 0.500)  4.16
Cd (0.500, 0.000, 0.000)  0.00
Cd (0.000, 0.000, 0.500)  -0.01

Properties
- Raw total energy: -2.82 eV/atom
- Total magnetization: 4.9 μB/cell

No. 4
Crystalline BaZnSb at its relaxed geometry. Source: the Alexandria database, functional PBE.

Cell: 5.191 5.191 5.191 Å, 60.00 60.00 60.00°
Element x y z (fractional)
Sb (0.500, 0.500, 0.500)
Ba (0.000, 0.000, 0.000)
Zn (0.750, 0.750, 0.750)

Properties
- Raw total energy: -2.89 eV/atom
- Energy above the lowest structure with this stoichiometry: 186 meV per atom
- Total magnetization: 0.0 μB/cell

No. 5
Crystalline InAsP2 at its relaxed geometry. Source: the Alexandria database, functional PBE.

Cell: 3.704 4.685 4.951 Å, 70.06 90.00 90.00°
Element x y z (fractional)
P (0.000, 0.982, 0.063)
In (0.500, 0.763, 0.760)
P (0.500, 0.241, 0.242)
As (0.000, 0.513, 0.435)

Properties
- Raw total energy: -4.44 eV/atom
- Energy above the lowest structure with this stoichiometry: 52 meV per atom
- ΔH_f (0 K): 0.1151 eV per atom
- Total magnetization: 0.0 μB/cell

No. 6
Crystalline Mg2SiPtC at its relaxed geometry. Source: the Alexandria database, functional PBE.

Cell: 4.396 3.681 4.396 Å, 90.00 90.00 90.00°
Element x y z (fractional)
C (0.000, 0.000, 0.000)
Mg (0.000, 0.000, 0.500)
Pt (0.500, 0.500, 0.500)
Si (0.000, 0.500, 0.000)
Mg (0.500, 0.000, 0.000)

Properties
- Raw total energy: -4.75 eV/atom
- Total magnetization: 0.0 μB/cell

No. 7
Crystalline HfIn2GaCo at its relaxed geometry. Source: the Alexandria database, functional PBE.

Cell: 5.049 4.345 5.049 Å, 90.00 90.00 90.00°
Each line ends with the local moment (μB).
Element x y z (fractional)
Hf (0.500, 0.500, 0.500)  -0.01
Co (0.000, 0.500, 0.000)  0.87
In (0.000, 0.000, 0.500)  0.00
In (0.500, 0.000, 0.000)  0.00
Ga (0.000, 0.000, 0.000)  -0.04

Properties
- Raw total energy: -4.36 eV/atom
- ΔH_f (0 K): 0.7496 eV per atom
- Total magnetization: 0.8 μB/cell

No. 8
Crystalline AcZnSbRh3 at its relaxed geometry. Source: the Alexandria database, functional PBE.

Cell: 6.405 6.323 6.921 Å, 117.18 90.00 90.00°
Element x y z (fractional)
Ac (0.750, 0.301, 0.603)
Rh (0.500, 0.723, 0.000)
Rh (0.250, 0.165, 0.329)
Zn (0.250, 0.950, 0.900)
Rh (0.750, 0.835, 0.671)
Rh (0.000, 0.277, 0.000)
Sb (0.250, 0.371, 0.743)
Rh (0.000, 0.723, 0.000)
Ac (0.250, 0.699, 0.397)
Sb (0.750, 0.629, 0.257)
Rh (0.500, 0.277, 0.000)
Zn (0.750, 0.050, 0.100)

Properties
- Raw total energy: -5.68 eV/atom
- Total magnetization: 0.0 μB/cell

No. 9
Crystalline ZnAsIr2 at its relaxed geometry. Source: the Alexandria database, functional PBE.

Cell: 4.272 2.883 4.965 Å, 90.21 90.00 90.00°
Element x y z (fractional)
Zn (0.500, 0.250, 0.250)
Ir (0.000, 0.978, 0.000)
Ir (0.000, 0.522, 0.500)
As (0.500, 0.750, 0.750)

Properties
- Raw total energy: -5.78 eV/atom
- Energy above the lowest structure with this stoichiometry: 150 meV per atom
- ΔH_f (0 K): 0.1362 eV per atom
- Total magnetization: 0.0 μB/cell

No. 10
Crystalline TlHg2GeTe4 at its relaxed geometry. Source: the Alexandria database, functional PBE.

Cell: 7.986 7.986 7.159 Å, 123.90 123.90 89.99°
Element x y z (fractional)
Ge (0.500, 0.500, 0.000)
Te (0.466, 0.859, 0.326)
Hg (0.250, 0.750, 0.500)
Te (0.534, 0.534, 0.675)
Te (0.859, 0.466, 0.326)
Tl (0.000, 0.000, 0.000)
Hg (0.750, 0.250, 0.500)
Te (0.141, 0.141, 0.674)

Properties
- Raw total energy: -2.60 eV/atom
- Total magnetization: 0.0 μB/cell

No. 11
Crystalline NaMg2CoCl8 at its relaxed geometry. Source: the Alexandria database, functional PBE.

Cell: 5.949 5.748 7.638 Å, 89.98 89.98 88.87°
Each line ends with the local moment (μB).
Element x y z (fractional)
Cl (0.660, 0.713, 0.500)  0.00
Cl (0.313, 0.244, 0.000)  0.00
Cl (0.837, 0.224, 0.212)  0.00
Mg (0.500, 0.500, 0.750)  0.00
Cl (0.163, 0.776, 0.212)  0.00
Cl (0.340, 0.287, 0.500)  0.00
Mg (0.500, 0.500, 0.250)  0.00
Cl (0.837, 0.224, 0.788)  0.00
Cl (0.163, 0.776, 0.788)  0.00
Na (0.000, 0.000, 0.500)  0.00
Co (0.000, 0.000, 0.000)  -0.08
Cl (0.687, 0.756, 0.000)  0.00

Properties
- Raw total energy: -3.49 eV/atom
- Total magnetization: 0.1 μB/cell

No. 12
Crystalline La6GaCo2Cl3 at its relaxed geometry. Source: the Alexandria database, functional PBE.

Cell: 4.099 9.055 9.817 Å, 107.87 102.05 90.00°
Element x y z (fractional)
La (0.980, 0.743, 0.960)
Co (0.170, 0.340, 0.341)
Co (0.830, 0.660, 0.659)
Cl (0.163, 0.839, 0.326)
La (0.665, 0.122, 0.330)
Cl (0.500, 0.500, 0.000)
La (0.335, 0.878, 0.670)
Ga (0.500, 0.000, 0.000)
La (0.682, 0.563, 0.363)
Cl (0.837, 0.161, 0.674)
La (0.318, 0.437, 0.637)
La (0.020, 0.257, 0.040)

Properties
- Raw total energy: -5.32 eV/atom
- Total magnetization: 0.0 μB/cell